No. 1
This record from Alexandria via LeMat-Bulk describes GeRh3O after structural relaxation. The functional is PBE.

Lattice parameters (Å, degrees): 4.585 4.585 4.585 90.00 90.00 90.00
Space group Pm-3m (No. 221)
Asymmetric unit:
Ge1 0.000 0.000 0.000 [1 per cell]
Rh1 0.000 0.000 0.500 [3 per cell]
O1 0.500 0.500 0.500 [1 per cell]

Output
calculated density	6.85	g cm⁻³
polymorph energy (0 for the lowest one)	1060	meV/atom
D(E_F)	8.2	states/eV/f.u.
volume	96.4	Å³ per cell

---

No. 2
This record from Alexandria via LeMat-Bulk describes Ge2RhO after structural relaxation. The functional is PBE.

Lattice parameters (Å, degrees): 5.640 5.640 8.282 90.00 90.00 90.00
Space group I-42d (No. 122)
Asymmetric unit:
Ge1 0.209 0.250 0.125 [8 per cell]
Rh1 0.000 0.000 0.500 [4 per cell]
O1 0.000 0.000 0.000 [4 per cell]

Output
calculated density	6.66	g cm⁻³
D(E_F)	1.4	states/eV/f.u.
volume	263.4	Å³ per cell

---

No. 3
This record from Alexandria via LeMat-Bulk describes GeRhO4 after structural relaxation. The functional is PBE.

Lattice parameters (Å, degrees): 6.385 6.385 6.082 90.00 90.00 90.00
Space group I4_1md (No. 109)
Asymmetric unit:
Ge1 0.000 0.000 0.000 [4 per cell]
Rh1 0.000 0.000 0.502 [4 per cell]
O1 0.000 0.305 0.015 [8 per cell]
O2 0.000 0.308 0.495 [8 per cell]

Output
calculated density	6.42	g cm⁻³
D(E_F)	2.8	states/eV/f.u.
volume	247.9	Å³ per cell

---

No. 4
This record from Alexandria via LeMat-Bulk describes GeRh2O after structural relaxation. The functional is PBE.

Lattice parameters (Å, degrees): 5.882 5.882 5.882 90.00 90.00 90.00
Space group Fm-3m (No. 225)
Asymmetric unit:
Ge1 0.000 0.000 0.000 [4 per cell]
Rh1 0.250 0.250 0.250 [8 per cell]
O1 0.000 0.000 0.500 [4 per cell]

Output
calculated density	9.61	g cm⁻³
polymorph energy (0 for the lowest one)	124	meV/atom
D(E_F)	3.4	states/eV/f.u.
volume	203.5	Å³ per cell

---

No. 5
This record from Alexandria via LeMat-Bulk describes GeRh2O after structural relaxation. The functional is PBE.

Lattice parameters (Å, degrees): 4.639 4.639 11.975 90.00 90.00 90.00
Space group I-42d (No. 122)
Asymmetric unit:
Ge1 0.000 0.000 0.000 [4 per cell]
Rh1 0.160 0.250 0.625 [8 per cell]
O1 0.000 0.000 0.500 [4 per cell]

Output
calculated density	7.59	g cm⁻³
polymorph energy (0 for the lowest one)	0	meV/atom
D(E_F)	1.2	states/eV/f.u.
volume	257.7	Å³ per cell

---

No. 6
This record from Alexandria via LeMat-Bulk describes GeRh3O after structural relaxation. The functional is PBE.

Lattice parameters (Å, degrees): 4.133 4.133 4.133 90.00 90.00 90.00
Space group Pm-3m (No. 221)
Asymmetric unit:
Ge1 0.000 0.000 0.000 [1 per cell]
Rh1 0.000 0.500 0.500 [3 per cell]
O1 0.500 0.500 0.500 [1 per cell]

Output
calculated density	9.34	g cm⁻³
polymorph energy (0 for the lowest one)	0	meV/atom
D(E_F)	5.9	states/eV/f.u.
volume	70.6	Å³ per cell

---

No. 7
This record from Alexandria via LeMat-Bulk describes GeRh3O6 after structural relaxation. The functional is PBE.

Lattice parameters (Å, degrees): 5.186 5.453 9.186 90.00 122.73 90.00
Space group P2_1/c (No. 14)
Asymmetric unit:
Ge1 0.000 0.000 0.000 [2 per cell]
Rh1 0.305 0.049 0.802 [4 per cell]
Rh2 0.500 0.000 0.500 [2 per cell]
O1 0.086 0.099 0.226 [4 per cell]
O2 0.301 0.713 0.110 [4 per cell]
O3 0.354 0.178 0.030 [4 per cell]

Output
calculated density	7.25	g cm⁻³
D(E_F)	3.9	states/eV/f.u.
volume	218.5	Å³ per cell

---

No. 8
This record from Alexandria via LeMat-Bulk describes GeSbRhO6 after structural relaxation. The functional is PBE.

Lattice parameters (Å, degrees): 5.0939 5.0939 8.7121 90.00 90.00 120.00
Space group P-31c (No. 163)
Asymmetric unit:
Ge1 0.3333 0.6667 0.2500 [2 per cell]
Sb1 0.3333 0.6667 0.7500 [2 per cell]
Rh1 0.0000 0.0000 0.0000 [2 per cell]
O1 0.0131 0.3555 0.1290 [12 per cell]

Output
calculated density	6.67	g cm⁻³
volume	195.8	Å³ per cell

---

For reference, E_tot by record: -25.4; -92.5; -154.9; -97.5; -99.4; -30.7; -126.2; -113.0 eV for the cell shown.
For reference, energy relative to the elements, uncorrected by record: 6.20; -1.57; -6.93; -0.09; -0.58; 0.91; -6.66; -10.65 eV per formula unit.